# Tb4ErMg5

A relaxed structure of Tb4ErMg5 (PBE, Alexandria via LeMat-Bulk).

Cell and atoms, written as CIF:
```
data_Tb4ErMg5
_chemical_formula_sum 'Tb4 Er1 Mg5'
_cell_length_a 3.794
_cell_length_b 3.794
_cell_length_c 18.951
_cell_angle_alpha 90.00
_cell_angle_beta 90.00
_cell_angle_gamma 90.00
_space_group_name_H-M_alt 'P 4/m m m'
_space_group_IT_number 123
_space_group_name_Hall '-P 4 2'
loop_
_atom_site_label
_atom_site_fract_x
_atom_site_fract_y
_atom_site_fract_z
_atom_site_occupancy
Tb1 0.000 0.000 0.101 1
Tb2 0.000 0.000 0.301 1
Er1 0.000 0.000 0.500 1
Mg1 0.500 0.500 0.000 1
Mg2 0.500 0.500 0.201 1
Mg3 0.500 0.500 0.402 1
```

Results
The value obtained for the calculated formation energy is -81 meV per atom. The calculation puts the volume at 272.8 Å³/cell. Its magnetic moment is 0.0 μB per cell. The value obtained for the raw total energy is -3.1869 eV per atom.